1.
Ba2ScFe: relaxed, PBE-GGA.

Summary:
ΔH_f (0 K), meV/atom: 347
Energy relative to the lowest polymorph listed for this composition, meV/atom: 0
M_tot, μB/f.u.: 1.70
Density, Mg/m³: 4.54
Symmetry: Pm (6)

abc: 3.763 3.765 9.692
angles: 90.00 90.32 90.00
Fractional positions:
Ba  0.000  0.000  0.000
Ba  0.497  0.500  0.388
Sc  0.000  0.000  0.661
Fe  0.501  0.500  0.756

***

2.
BaScFe3: relaxed, PBE-GGA.

Summary:
ΔH_f (0 K), meV/atom: 1024
Energy relative to the lowest polymorph listed for this composition, meV/atom: 0
M_tot, μB/f.u.: 7.30
Density, Mg/m³: 4.82
Symmetry: Pm-3m (221)

abc: 4.940 4.940 4.940
angles: 90.00 90.00 90.00
Fractional positions:
Ba  0.000  0.000  0.000
Sc  0.500  0.500  0.500
Fe  0.000  0.500  0.500
Fe  0.500  0.000  0.500
Fe  0.500  0.500  0.000

***

3.
BaSc2Fe: relaxed, PBE-GGA.

Summary:
ΔH_f (0 K), meV/atom: 665
Energy relative to the lowest polymorph listed for this composition, meV/atom: 529
M_tot, μB/f.u.: 1.05
Density, Mg/m³: 4.60
Symmetry: F-43m (216)

abc: 7.420 7.420 7.420
angles: 90.00 90.00 90.00
Fractional positions:
Ba  0.000  0.000  0.000
Ba  0.000  0.500  0.500
Ba  0.500  0.000  0.500
Ba  0.500  0.500  0.000
Sc  0.000  0.000  0.500
Sc  0.000  0.500  0.000
Sc  0.250  0.250  0.750
Sc  0.250  0.750  0.250
Sc  0.500  0.000  0.000
Sc  0.500  0.500  0.500
Sc  0.750  0.250  0.250
Sc  0.750  0.750  0.750
Fe  0.250  0.250  0.250
Fe  0.250  0.750  0.750
Fe  0.750  0.250  0.750
Fe  0.750  0.750  0.250

***

4.
BaSc2Fe: relaxed, PBE-GGA.

Summary:
ΔH_f (0 K), meV/atom: 499
Energy relative to the lowest polymorph listed for this composition, meV/atom: 363
M_tot, μB/f.u.: 0.00
Density, Mg/m³: 3.38
Symmetry: I4_1/amd (141)

abc: 7.306 7.306 10.426
angles: 90.00 90.00 90.00
Fractional positions:
Ba  0.000  0.250  0.375
Ba  0.000  0.750  0.625
Ba  0.500  0.250  0.125
Ba  0.500  0.750  0.875
Sc  0.000  0.000  0.000
Sc  0.000  0.500  0.000
Sc  0.250  0.250  0.750
Sc  0.250  0.750  0.250
Sc  0.500  0.000  0.500
Sc  0.500  0.500  0.500
Sc  0.750  0.250  0.750
Sc  0.750  0.750  0.250
Fe  0.000  0.250  0.875
Fe  0.000  0.750  0.125
Fe  0.500  0.250  0.625
Fe  0.500  0.750  0.375

***

5.
Ba2ScFe: relaxed, PBE-GGA.

Summary:
ΔH_f (0 K), meV/atom: 750
Energy relative to the lowest polymorph listed for this composition, meV/atom: 403
M_tot, μB/f.u.: 2.22
Density, Mg/m³: 4.57
Symmetry: P4/mmm (123)

abc: 5.575 5.575 4.391
angles: 90.00 90.00 90.00
Fractional positions:
Ba  0.000  0.500  0.000
Ba  0.500  0.000  0.000
Sc  0.000  0.000  0.500
Fe  0.500  0.500  0.500

***

6.
Ba2ScFe: relaxed, PBE-GGA.

Summary:
ΔH_f (0 K), meV/atom: 402
Energy relative to the lowest polymorph listed for this composition, meV/atom: 54
M_tot, μB/f.u.: 1.02
Density, Mg/m³: 4.14
Symmetry: Cm (8)

abc: 8.862 3.762 9.348
angles: 90.00 104.62 90.00
Fractional positions:
Ba  0.000  0.000  0.000
Ba  0.152  0.000  0.582
Ba  0.500  0.500  0.000
Ba  0.652  0.500  0.582
Sc  0.296  0.500  0.293
Sc  0.796  0.000  0.293
Fe  0.013  0.500  0.289
Fe  0.513  0.000  0.289